A relaxed PAuNO2 crystal. Source: Alexandria, functional PBE.

## Properties
- E (Ry/atom) = -0.27518
- D(E_F) (states/eV per atom) = 0.6778
- formation energy without anion corrections (eV/f.u.) = 8.21
- total magnetization (μB per atom) = 0.401

a = 3.8598 Å, b = 3.8598 Å, c = 5.3521 Å
α = 90.00°, β = 90.00°, γ = 90.00°
Space group P4/mmm (No. 123)
Symmetry-distinct sites (fractional):
P  0.0000  0.0000  0.0000 x1
Au  0.0000  0.0000  0.5000 x1
N  0.5000  0.5000  0.0000 x1
O  0.0000  0.5000  0.5000 x2